[1]
A plane-wave DFT calculation with PBE-GGA was carried out for a relaxed Li2InPd2 crystal.

- formation energy from the elements (eV per formula unit) = -2.13
- symmetry = P4/mbm
- density (kg/m3) = 7126
- M_tot (μB per formula unit) = 0.00

Cell: 7.188 7.188 3.080 Å, 90.00 90.00 90.00°
Atoms (fractional coordinates):
Li (0.154, 0.346, 0.000)
Li (0.346, 0.846, 0.000)
Li (0.654, 0.154, 0.000)
Li (0.846, 0.654, 0.000)
In (0.000, 0.000, 0.500)
In (0.500, 0.500, 0.500)
Pd (0.142, 0.642, 0.500)
Pd (0.358, 0.142, 0.500)
Pd (0.642, 0.858, 0.500)
Pd (0.858, 0.358, 0.500)

[2]
A plane-wave DFT calculation with PBE-GGA was carried out for a relaxed BeZnCl crystal.

- symmetry = F-43m
- density (kg/m3) = 3095
- M_tot (μB per formula unit) = 0.00
- energy relative to the elements, uncorrected (eV per atom) = 0.560

Cell: 4.368 4.368 4.368 Å, 60.00 60.00 60.00°
Atoms (fractional coordinates):
Be (0.000, 0.000, 0.000)
Zn (0.750, 0.750, 0.750)
Cl (0.250, 0.250, 0.250)

[3]
A plane-wave DFT calculation with PBE-GGA was carried out for a relaxed Ag4SbS5 crystal.

- symmetry = I4/m
- density (kg/m3) = 6033
- M_tot (μB per formula unit) = 0.00
- energy relative to the elements, uncorrected (eV per atom) = -0.024

Cell: 6.640 6.640 6.640 Å, 99.16 99.16 132.97°
Atoms (fractional coordinates):
Ag (0.105, 0.295, 0.400)
Ag (0.295, 0.895, 0.190)
Ag (0.705, 0.105, 0.810)
Ag (0.895, 0.705, 0.600)
Sb (0.500, 0.500, 0.000)
S (0.000, 0.000, 0.000)
S (0.206, 0.580, 0.786)
S (0.420, 0.206, 0.625)
S (0.580, 0.794, 0.375)
S (0.794, 0.420, 0.214)

| no. | final energy (eV/f.u.) |
| --- | --- |
| 1 | -19.08 |
| 2 | -5.17 |
| 3 | -36.41 |